(1)
# Ag2HgAs PBE optimized geometry
data_Ag2HgAs
_symmetry_space_group_name_H-M 'P m m m'
_symmetry_Int_Tables_number 47
_cell_length_a 3.1039
_cell_length_b 4.1658
_cell_length_c 6.0568
_cell_angle_alpha 90.00
_cell_angle_beta 90.00
_cell_angle_gamma 90.00
loop_
_symmetry_equiv_pos_as_xyz
'x,y,z'
'-x,-y,-z'
'-x,-y,z'
'x,y,-z'
'x,-y,-z'
'-x,y,z'
'-x,y,-z'
'x,-y,z'
loop_
_atom_site_label
_atom_site_type_symbol
_atom_site_fract_x
_atom_site_fract_y
_atom_site_fract_z
Ag1 Ag 0.0000 0.0000 0.2412
Hg1 Hg 0.5000 0.5000 0.5000
As1 As 0.5000 0.5000 0.0000
# Density, Mg/m³: 10.4

=====

(2)
# Ag2HgAs PBE optimized geometry
data_Ag2HgAs
_symmetry_space_group_name_H-M 'F m m m'
_symmetry_Int_Tables_number 69
_symmetry_space_group_name_Hall '-F 2 2'
_cell_length_a 5.9916
_cell_length_b 6.1355
_cell_length_c 8.5569
_cell_angle_alpha 90.00
_cell_angle_beta 90.00
_cell_angle_gamma 90.00
loop_
_atom_site_label
_atom_site_type_symbol
_atom_site_fract_x
_atom_site_fract_y
_atom_site_fract_z
Ag1 Ag 0.2500 0.2500 0.2500
Hg1 Hg 0.0000 0.0000 0.0000
As1 As 0.0000 0.0000 0.5000
# Density, Mg/m³: 10.4

=====

(3)
# Ag3HgAs PBE optimized geometry
data_Ag3HgAs
_symmetry_space_group_name_H-M 'P m -3 m'
_symmetry_Int_Tables_number 221
_symmetry_space_group_name_Hall '-P 4 2 3'
_cell_length_a 5.1671
_cell_length_b 5.1671
_cell_length_c 5.1671
_cell_angle_alpha 90.00
_cell_angle_beta 90.00
_cell_angle_gamma 90.00
loop_
_atom_site_label
_atom_site_type_symbol
_atom_site_fract_x
_atom_site_fract_y
_atom_site_fract_z
Ag1 Ag 0.0000 0.0000 0.5000
Hg1 Hg 0.0000 0.0000 0.0000
As1 As 0.5000 0.5000 0.5000
# Density, Mg/m³: 7.2
# Distance to the lowest polymorph of the same formula, meV per atom: 685

=====

(4)
# AgHgAs2 PBE optimized geometry
data_AgHgAs2
_symmetry_space_group_name_H-M 'C m m 2'
_symmetry_Int_Tables_number 35
_cell_length_a 3.3747
_cell_length_b 4.9685
_cell_length_c 9.8684
_cell_angle_alpha 90.00
_cell_angle_beta 90.00
_cell_angle_gamma 90.00
loop_
_symmetry_equiv_pos_as_xyz
'x,y,z'
'-x,-y,z'
'-x,y,z'
'x,-y,z'
'x+1/2,y+1/2,z'
'-x+1/2,-y+1/2,z'
'-x+1/2,y+1/2,z'
'x+1/2,-y+1/2,z'
loop_
_atom_site_label
_atom_site_type_symbol
_atom_site_fract_x
_atom_site_fract_y
_atom_site_fract_z
Ag1 Ag 0.0000 0.0000 0.0000
Hg1 Hg 0.0000 0.5000 0.7451
As1 As 0.0000 0.0000 0.4608
As2 As 0.0000 0.5000 0.2420
# Density, Mg/m³: 9.2

=====

(5)
# AgHgAs2 PBE optimized geometry
data_AgHgAs2
_symmetry_space_group_name_H-M 'I -4 m 2'
_symmetry_Int_Tables_number 119
_symmetry_space_group_name_Hall 'I -4 -2'
_cell_length_a 4.4214
_cell_length_b 4.4214
_cell_length_c 8.3950
_cell_angle_alpha 90.00
_cell_angle_beta 90.00
_cell_angle_gamma 90.00
loop_
_atom_site_label
_atom_site_type_symbol
_atom_site_fract_x
_atom_site_fract_y
_atom_site_fract_z
Ag1 Ag 0.0000 0.0000 0.0000
Hg1 Hg 0.0000 0.5000 0.2500
As1 As 0.0000 0.0000 0.5000
As2 As 0.0000 0.5000 0.7500
# Density, Mg/m³: 9.3

=====

(6)
# Ag2HgAs PBE optimized geometry
data_Ag2HgAs
_symmetry_space_group_name_H-M 'C 1 2/m 1'
_symmetry_Int_Tables_number 12
_cell_length_a 5.9919
_cell_length_b 8.5063
_cell_length_c 3.0766
_cell_angle_alpha 90.00
_cell_angle_beta 90.13
_cell_angle_gamma 90.00
loop_
_symmetry_equiv_pos_as_xyz
'x,y,z'
'-x,-y,-z'
'-x,y,-z'
'x,-y,z'
'x+1/2,y+1/2,z'
'-x+1/2,-y+1/2,-z'
'-x+1/2,y+1/2,-z'
'x+1/2,-y+1/2,z'
loop_
_atom_site_label
_atom_site_type_symbol
_atom_site_fract_x
_atom_site_fract_y
_atom_site_fract_z
Ag1 Ag 0.2500 0.2500 0.0000
Hg1 Hg 0.0000 0.0000 0.5000
As1 As 0.0000 0.5000 0.5000
# Density, Mg/m³: 10.4

=====

(7)
# AgHg2As2 PBE optimized geometry
data_AgHg2As2
_symmetry_space_group_name_H-M 'P 4/m b m'
_symmetry_Int_Tables_number 127
_symmetry_space_group_name_Hall '-P 4 2ab'
_cell_length_a 7.4310
_cell_length_b 7.4310
_cell_length_c 4.1601
_cell_angle_alpha 90.00
_cell_angle_beta 90.00
_cell_angle_gamma 90.00
loop_
_atom_site_label
_atom_site_type_symbol
_atom_site_fract_x
_atom_site_fract_y
_atom_site_fract_z
Ag1 Ag 0.0000 0.0000 0.0000
Hg1 Hg 0.1392 0.3608 0.5000
As1 As 0.1847 0.6847 0.0000
# Density, Mg/m³: 9.5
# Distance to the lowest polymorph of the same formula, meV per atom: 29

=====

(8)
# AgHgAs2 PBE optimized geometry
data_AgHgAs2
_symmetry_space_group_name_H-M 'C 1 m 1'
_symmetry_Int_Tables_number 8
_cell_length_a 8.6850
_cell_length_b 2.9181
_cell_length_c 7.1814
_cell_angle_alpha 90.00
_cell_angle_beta 96.25
_cell_angle_gamma 90.00
loop_
_symmetry_equiv_pos_as_xyz
'x,y,z'
'x,-y,z'
'x+1/2,y+1/2,z'
'x+1/2,-y+1/2,z'
loop_
_atom_site_label
_atom_site_type_symbol
_atom_site_fract_x
_atom_site_fract_y
_atom_site_fract_z
Ag1 Ag 0.0000 0.0000 0.0000
Hg1 Hg 0.2048 0.5000 0.2706
As1 As 0.2802 0.0000 0.7959
As2 As 0.4280 0.0000 0.5248
# Density, Mg/m³: 8.4

=====

(9)
# AgHg2As2 PBE optimized geometry
data_AgHg2As2
_symmetry_space_group_name_H-M 'I 4/m m m'
_symmetry_Int_Tables_number 139
_symmetry_space_group_name_Hall '-I 4 2'
_cell_length_a 3.6551
_cell_length_b 3.6551
_cell_length_c 17.5694
_cell_angle_alpha 90.00
_cell_angle_beta 90.00
_cell_angle_gamma 90.00
loop_
_atom_site_label
_atom_site_type_symbol
_atom_site_fract_x
_atom_site_fract_y
_atom_site_fract_z
Ag1 Ag 0.0000 0.0000 0.0000
Hg1 Hg 0.0000 0.0000 0.4067
As1 As 0.0000 0.5000 0.2500
# Density, Mg/m³: 9.3
# Distance to the lowest polymorph of the same formula, meV per atom: 0

=====

(10)
# AgHgAs2 PBE optimized geometry
data_AgHgAs2
_symmetry_space_group_name_H-M 'P 4/m m m'
_symmetry_Int_Tables_number 123
_symmetry_space_group_name_Hall '-P 4 2'
_cell_length_a 4.8728
_cell_length_b 4.8728
_cell_length_c 3.4598
_cell_angle_alpha 90.00
_cell_angle_beta 90.00
_cell_angle_gamma 90.00
loop_
_atom_site_label
_atom_site_type_symbol
_atom_site_fract_x
_atom_site_fract_y
_atom_site_fract_z
Ag1 Ag 0.0000 0.0000 0.0000
Hg1 Hg 0.5000 0.5000 0.0000
As1 As 0.0000 0.5000 0.5000
# Density, Mg/m³: 9.3

=====

(11)
# AgHgAs2 PBE optimized geometry
data_AgHgAs2
_symmetry_space_group_name_H-M 'C 1 2/m 1'
_symmetry_Int_Tables_number 12
_cell_length_a 5.7151
_cell_length_b 10.7731
_cell_length_c 3.0161
_cell_angle_alpha 90.00
_cell_angle_beta 117.24
_cell_angle_gamma 90.00
loop_
_symmetry_equiv_pos_as_xyz
'x,y,z'
'-x,-y,-z'
'-x,y,-z'
'x,-y,z'
'x+1/2,y+1/2,z'
'-x+1/2,-y+1/2,-z'
'-x+1/2,y+1/2,-z'
'x+1/2,-y+1/2,z'
loop_
_atom_site_label
_atom_site_type_symbol
_atom_site_fract_x
_atom_site_fract_y
_atom_site_fract_z
Ag1 Ag 0.0000 0.0000 0.0000
Hg1 Hg 0.0000 0.5000 0.0000
As1 As 0.2500 0.2500 0.0000
# Density, Mg/m³: 9.2

=====

(12)
# Ag2HgAs2 PBE optimized geometry
data_Ag2HgAs2
_symmetry_space_group_name_H-M 'I 4/m m m'
_symmetry_Int_Tables_number 139
_symmetry_space_group_name_Hall '-I 4 2'
_cell_length_a 3.8862
_cell_length_b 3.8862
_cell_length_c 14.0736
_cell_angle_alpha 90.00
_cell_angle_beta 90.00
_cell_angle_gamma 90.00
loop_
_atom_site_label
_atom_site_type_symbol
_atom_site_fract_x
_atom_site_fract_y
_atom_site_fract_z
Ag1 Ag 0.0000 0.0000 0.0985
Hg1 Hg 0.0000 0.0000 0.5000
As1 As 0.0000 0.5000 0.2500
# Density, Mg/m³: 8.8
# Distance to the lowest polymorph of the same formula, meV per atom: 21

=====

(13)
# Ag2HgAs PBE optimized geometry
data_Ag2HgAs
_symmetry_space_group_name_H-M 'C 1 2/m 1'
_symmetry_Int_Tables_number 12
_cell_length_a 9.2855
_cell_length_b 3.0739
_cell_length_c 5.6873
_cell_angle_alpha 90.00
_cell_angle_beta 101.85
_cell_angle_gamma 90.00
loop_
_symmetry_equiv_pos_as_xyz
'x,y,z'
'-x,-y,-z'
'-x,y,-z'
'x,-y,z'
'x+1/2,y+1/2,z'
'-x+1/2,-y+1/2,-z'
'-x+1/2,y+1/2,-z'
'x+1/2,-y+1/2,z'
loop_
_atom_site_label
_atom_site_type_symbol
_atom_site_fract_x
_atom_site_fract_y
_atom_site_fract_z
Ag1 Ag 0.2459 0.0000 0.2400
Hg1 Hg 0.0000 0.0000 0.5000
As1 As 0.0000 0.5000 0.0000
# Density, Mg/m³: 10.3

=====

(14)
# AgHgAs2 PBE optimized geometry
data_AgHgAs2
_symmetry_space_group_name_H-M 'P 1 m 1'
_symmetry_Int_Tables_number 6
_cell_length_a 2.8883
_cell_length_b 5.4667
_cell_length_c 5.4495
_cell_angle_alpha 90.00
_cell_angle_beta 98.01
_cell_angle_gamma 90.00
loop_
_symmetry_equiv_pos_as_xyz
'x,y,z'
'x,-y,z'
loop_
_atom_site_label
_atom_site_type_symbol
_atom_site_fract_x
_atom_site_fract_y
_atom_site_fract_z
Ag1 Ag 0.0000 0.0000 0.0000
Hg1 Hg 0.4974 0.5000 0.0039
As1 As 0.4843 0.0000 0.5032
As2 As 0.4874 0.5000 0.5031
# Density, Mg/m³: 8.9

=====

(15)
# AgHgAs2 PBE optimized geometry
data_AgHgAs2
_symmetry_space_group_name_H-M 'R -3 m'
_symmetry_Int_Tables_number 166
_symmetry_space_group_name_Hall '-R 3 2"'
_cell_length_a 3.0670
_cell_length_b 3.0670
_cell_length_c 31.5857
_cell_angle_alpha 90.00
_cell_angle_beta 90.00
_cell_angle_gamma 120.00
loop_
_atom_site_label
_atom_site_type_symbol
_atom_site_fract_x
_atom_site_fract_y
_atom_site_fract_z
Ag1 Ag 0.0000 0.0000 0.0000
Hg1 Hg 0.0000 0.0000 0.5000
As1 As 0.0000 0.0000 0.2639
# Density, Mg/m³: 8.9

=====

(16)
# Ag3HgAs PBE optimized geometry
data_Ag3HgAs
_symmetry_space_group_name_H-M 'P m -3 m'
_symmetry_Int_Tables_number 221
_symmetry_space_group_name_Hall '-P 4 2 3'
_cell_length_a 5.0362
_cell_length_b 5.0362
_cell_length_c 5.0362
_cell_angle_alpha 90.00
_cell_angle_beta 90.00
_cell_angle_gamma 90.00
loop_
_atom_site_label
_atom_site_type_symbol
_atom_site_fract_x
_atom_site_fract_y
_atom_site_fract_z
Ag1 Ag 0.0000 0.0000 0.5000
Hg1 Hg 0.5000 0.5000 0.5000
As1 As 0.0000 0.0000 0.0000
# Density, Mg/m³: 7.8
# Distance to the lowest polymorph of the same formula, meV per atom: 0

=====

(17)
# Ag2HgAs PBE optimized geometry
data_Ag2HgAs
_symmetry_space_group_name_H-M 'C m m 2'
_symmetry_Int_Tables_number 35
_cell_length_a 4.1300
_cell_length_b 4.1388
_cell_length_c 9.4613
_cell_angle_alpha 90.00
_cell_angle_beta 90.00
_cell_angle_gamma 90.00
loop_
_symmetry_equiv_pos_as_xyz
'x,y,z'
'-x,-y,z'
'-x,y,z'
'x,-y,z'
'x+1/2,y+1/2,z'
'-x+1/2,-y+1/2,z'
'-x+1/2,y+1/2,z'
'x+1/2,-y+1/2,z'
loop_
_atom_site_label
_atom_site_type_symbol
_atom_site_fract_x
_atom_site_fract_y
_atom_site_fract_z
Ag1 Ag 0.0000 0.0000 0.0000
Ag2 Ag 0.0000 0.5000 0.2238
Hg1 Hg 0.0000 0.0000 0.4771
As1 As 0.0000 0.5000 0.7756
# Density, Mg/m³: 10.1

=====

(18)
# AgHg3As PBE optimized geometry
data_AgHg3As
_symmetry_space_group_name_H-M 'P m -3 m'
_symmetry_Int_Tables_number 221
_symmetry_space_group_name_Hall '-P 4 2 3'
_cell_length_a 5.3482
_cell_length_b 5.3482
_cell_length_c 5.3482
_cell_angle_alpha 90.00
_cell_angle_beta 90.00
_cell_angle_gamma 90.00
loop_
_atom_site_label
_atom_site_type_symbol
_atom_site_fract_x
_atom_site_fract_y
_atom_site_fract_z
Ag1 Ag 0.0000 0.0000 0.0000
Hg1 Hg 0.0000 0.5000 0.5000
As1 As 0.5000 0.5000 0.5000
# Density, Mg/m³: 8.5
# Distance to the lowest polymorph of the same formula, meV per atom: 0

=====

(19)
# Ag2HgAs PBE optimized geometry
data_Ag2HgAs
_symmetry_space_group_name_H-M 'C 1 m 1'
_symmetry_Int_Tables_number 8
_cell_length_a 9.9537
_cell_length_b 3.1174
_cell_length_c 5.1679
_cell_angle_alpha 90.00
_cell_angle_beta 98.76
_cell_angle_gamma 90.00
loop_
_symmetry_equiv_pos_as_xyz
'x,y,z'
'x,-y,z'
'x+1/2,y+1/2,z'
'x+1/2,-y+1/2,z'
loop_
_atom_site_label
_atom_site_type_symbol
_atom_site_fract_x
_atom_site_fract_y
_atom_site_fract_z
Ag1 Ag 0.0000 0.0000 0.0000
Ag2 Ag 0.2422 0.5000 0.2547
Hg1 Hg 0.2462 0.0000 0.7614
As1 As 0.4840 0.0000 0.4577
# Density, Mg/m³: 10.3

=====

(20)
# AgHg4As PBE optimized geometry
data_AgHg4As
_symmetry_space_group_name_H-M 'F -4 3 m'
_symmetry_Int_Tables_number 216
_symmetry_space_group_name_Hall 'F -4 2 3'
_cell_length_a 8.3051
_cell_length_b 8.3051
_cell_length_c 8.3051
_cell_angle_alpha 90.00
_cell_angle_beta 90.00
_cell_angle_gamma 90.00
loop_
_atom_site_label
_atom_site_type_symbol
_atom_site_fract_x
_atom_site_fract_y
_atom_site_fract_z
Ag1 Ag 0.0000 0.0000 0.0000
Hg1 Hg 0.1250 0.1250 0.3750
As1 As 0.2500 0.2500 0.7500
# Density, Mg/m³: 11.4

=====

Q: Which calculated volume values were calculated for the entries above? A: 78, 315, 138, 165, 164, 157, 230, 181, 235, 82, 165, 213, 159, 85, 257, 128, 162, 153, 158, 573, in Å³/cell.
Q: Which energy of formation values were calculated for the entries above? A: 0.157, 0.181, 0.885, 0.304, 0.336, 0.173, 0.279, 0.175, 0.250, 0.432, 0.289, 0.207, 0.167, 0.217, 0.320, 0.200, 0.167, 0.408, 0.159, 0.431, in eV/atom.
Q: Which N(E_F) values were calculated for the entries above? A: 0.289, 0.472, 0.323, 0.400, 0.442, 0.357, 0.466, 0.280, 0.235, 0.643, 0.369, 0.339, 0.307, 0.672, 0.789, 0.000, 0.442, 0.412, 0.323, 0.524, in states/eV per atom.